The following is a DFT calculation (SCAN) of a crystal of CuI relaxed with PBEsol.

Formation energy (no corrections): -117 meV per atom
Total DFT energy (no corrections): -26.09 eV per atom

Geometry as CIF:
```
data_CuI
_chemical_formula_sum 'Cu2 I2'
_cell_length_a 3.9923
_cell_length_b 3.9923
_cell_length_c 6.3643
_cell_angle_alpha 90.00
_cell_angle_beta 90.00
_cell_angle_gamma 90.00
_symmetry_space_group_name_H-M 'P 4/n m m'
_symmetry_Int_Tables_number 129
loop_
_symmetry_equiv_pos_as_xyz
'x,y,z'
'-x,-y,-z'
'-y+1/2,x,z'
'y+1/2,-x,-z'
'-x+1/2,-y+1/2,z'
'x+1/2,y+1/2,-z'
'y,-x+1/2,z'
'-y,x+1/2,-z'
'x+1/2,-y,-z'
'-x+1/2,y,z'
'-y,-x,-z'
'y,x,z'
'-x,y+1/2,-z'
'x,-y+1/2,z'
'y+1/2,x+1/2,-z'
'-y+1/2,-x+1/2,z'
loop_
_atom_site_label
_atom_site_fract_x
_atom_site_fract_y
_atom_site_fract_z
_atom_site_occupancy
Cu1 0.2500 0.7500 0.0000 1
I1 0.2500 0.2500 0.2669 1
```